A plane-wave DFT calculation with PBE was carried out for crystalline Cs3MgHg at its relaxed geometry.

Results
energy relative to the elements	0.1418	eV/atom
polymorph energy (0 for the lowest one)	0	meV/atom
crystal system	cubic

The structure in CIF format:
```
data_Cs3MgHg
_chemical_formula_sum 'Cs3 Mg1 Hg1'
_cell_length_a 7.280
_cell_length_b 7.280
_cell_length_c 7.280
_cell_angle_alpha 90.00
_cell_angle_beta 90.00
_cell_angle_gamma 90.00
_space_group_name_H-M_alt 'P m -3 m'
_space_group_IT_number 221
_space_group_name_Hall '-P 4 2 3'
loop_
_atom_site_label
_atom_site_fract_x
_atom_site_fract_y
_atom_site_fract_z
_atom_site_occupancy
Cs1 0.000 0.000 0.500 1
Mg1 0.500 0.500 0.500 1
Hg1 0.000 0.000 0.000 1
```